# 1
The following is a DFT calculation (PBE) of a geometry-optimized ZrInHg2 structure.

Properties
- Energy of formation from the pure elements: 0.101 eV per atom
- Space group: No. 160
- Crystal system: trigonal

abc: 6.0685 6.0685 6.0685
angles: 44.48 44.48 44.48
Element x y z (fractional)
Zr 0.0000 0.0000 0.0000
In 0.1936 0.1936 0.1936
Hg 0.5936 0.5936 0.5936
Hg 0.7754 0.7754 0.7754

---

# 2
The following is a DFT calculation (PBE) of a geometry-optimized Zr2InHg structure.

Properties
- Energy of formation from the pure elements: 0.208 eV per atom
- Space group: No. 160
- Crystal system: trigonal

abc: 6.6846 6.6846 6.6846
angles: 38.26 38.26 38.26
Element x y z (fractional)
Zr 0.0000 0.0000 0.0000
Zr 0.1842 0.1842 0.1842
In 0.7628 0.7628 0.7628
Hg 0.5948 0.5948 0.5948